# Tb12Pm5Tm2

A relaxed structure of Tb12Pm5Tm2 (PBE, Alexandria via LeMat-Bulk).

abc: 6.9948 8.2828 11.5373
angles: 74.20 83.12 77.31
Last column: nearest neighbours and their distance in Å.
Sites, in units of the cell vectors:
Tb 0.0372 0.3722 0.4146  2 Tb 3.19-3.50, 1 Pm 3.48, 1 Tm 3.52
Tb 0.0755 0.5937 0.0991  7 Tb 3.36-3.61, 4 Pm 3.48-3.68
Tb 0.2167 0.7771 0.2919  1 Tm 3.25, 3 Pm 3.33-3.44, 4 Tb 3.36-3.57
Tb 0.2860 0.1941 0.6927  3 Pm 3.38-3.60, 1 Tm 3.39, 7 Tb 3.46-3.77
Tb 0.4146 0.2059 0.2265  5 Tb 3.46-3.78, 3 Pm 3.48-3.74, 2 Tm 3.56-3.74
Tb 0.4176 0.4109 0.8910  8 Tb 3.45-3.78, 3 Pm 3.64-3.70
Tb 0.5824 0.5891 0.1090  8 Tb 3.45-3.78, 3 Pm 3.64-3.70
Tb 0.5854 0.7941 0.7735  5 Tb 3.46-3.78, 3 Pm 3.48-3.74, 2 Tm 3.56-3.74
Tb 0.7140 0.8059 0.3073  3 Pm 3.38-3.60, 1 Tm 3.39, 7 Tb 3.46-3.77
Tb 0.7833 0.2229 0.7081  1 Tm 3.25, 3 Pm 3.33-3.44, 4 Tb 3.36-3.57
Tb 0.9245 0.4063 0.9009  7 Tb 3.36-3.61, 4 Pm 3.48-3.68
Tb 0.9628 0.6278 0.5854  2 Tb 3.19-3.50, 1 Pm 3.48, 1 Tm 3.52
Pm 0.0680 0.8208 0.7972  1 Tm 3.44, 8 Tb 3.44-3.70, 2 Pm 3.49-3.55
Pm 0.2559 0.9977 0.9966  7 Tb 3.41-3.74, 4 Pm 3.43-3.56
Pm 0.5000 0.5000 0.5000  4 Tb 3.33-3.38, 2 Tm 3.67
Pm 0.7441 0.0023 0.0034  7 Tb 3.41-3.74, 4 Pm 3.43-3.56
Pm 0.9320 0.1792 0.2028  1 Tm 3.44, 8 Tb 3.44-3.70, 2 Pm 3.49-3.55
Tm 0.2732 0.9404 0.5086  5 Tb 3.25-3.60, 1 Pm 3.44, 1 Tm 3.49
Tm 0.7268 0.0596 0.4914  5 Tb 3.25-3.60, 1 Pm 3.44, 1 Tm 3.49

Calculated values
ΔE_f in eV/atom: 0.112
Theoretical density in Mg/m³: 7.876
Symmetry: P-1 (2)
Energy above the most stable polymorph in this dataset in meV per atom: 0.0
V in Å³ per atom: 32.96
Final energy in eV per atom: -4.534
N(E_F) in states/eV per atom: 1.55